TlSbH | Alexandria | PBE | optimized geometry; offset from the most stable computed form = 52 meV per atom; volume = 25.324 Å³/atom; magnetization = 0.000 μB/cell
1.0
4.071 -0.699 0.302
-1.754 3.064 2.145
-0.967 0.765 13.931
Tl H Sb
2 2 2
direct
0.517 0.731 0.158
0.481 0.662 0.438
0.765 0.232 0.222
0.234 0.161 0.373
0.228 0.151 0.877
0.771 0.242 0.718